(1)
Crystalline Rb3IBr2 at its relaxed geometry, computed with PBE.

Output
ΔE_f (raw) ... -1.54 eV per atom
E ... -2.84 eV per atom

```
data_Rb3IBr2
_chemical_formula_sum 'Rb6 I2 Br4'
_symmetry_space_group_name_H-M 'P 1'
_symmetry_Int_Tables_number 1
_cell_length_a 9.044
_cell_length_b 9.044
_cell_length_c 11.561
_cell_angle_alpha 90.00
_cell_angle_beta 90.00
_cell_angle_gamma 142.87
loop_
_symmetry_equiv_pos_as_xyz
'x,y,z'
loop_
_atom_site_label
_atom_site_type_symbol
_atom_site_fract_x
_atom_site_fract_y
_atom_site_fract_z
Rb1 Rb 0.106 0.894 0.750
Rb2 Rb 0.384 0.616 0.545
Rb3 Rb 0.384 0.616 0.955
Rb4 Rb 0.616 0.384 0.045
Rb5 Rb 0.616 0.384 0.455
Rb6 Rb 0.894 0.106 0.250
I1 I 0.236 0.764 0.250
I2 I 0.764 0.236 0.750
Br1 Br 0.000 0.000 0.000
Br2 Br 0.000 0.000 0.500
Br3 Br 0.483 0.517 0.250
Br4 Br 0.517 0.483 0.750
```

(2)
Crystalline Rb2I2Br5 at its relaxed geometry, computed with PBE.

Output
ΔE_f (raw) ... -0.84 eV per atom
E ... -2.32 eV per atom

```
data_Rb2I2Br5
_chemical_formula_sum 'Rb4 I4 Br10'
_symmetry_space_group_name_H-M 'P 1'
_symmetry_Int_Tables_number 1
_cell_length_a 7.731
_cell_length_b 10.427
_cell_length_c 11.134
_cell_angle_alpha 89.37
_cell_angle_beta 70.44
_cell_angle_gamma 88.11
loop_
_symmetry_equiv_pos_as_xyz
'x,y,z'
loop_
_atom_site_label
_atom_site_type_symbol
_atom_site_fract_x
_atom_site_fract_y
_atom_site_fract_z
Rb1 Rb 0.000 0.000 0.000
Rb2 Rb 0.119 0.713 0.509
Rb3 Rb 0.365 0.498 0.975
Rb4 Rb 0.718 0.237 0.524
I1 I 0.038 0.362 0.747
I2 I 0.384 0.143 0.253
I3 I 0.487 0.847 0.775
I4 I 0.822 0.624 0.292
Br1 Br 0.104 0.273 0.202
Br2 Br 0.133 0.050 0.466
Br3 Br 0.147 0.753 0.187
Br4 Br 0.169 0.719 0.811
Br5 Br 0.310 0.222 0.797
Br6 Br 0.507 0.494 0.401
Br7 Br 0.642 0.244 0.042
Br8 Br 0.649 0.005 0.310
Br9 Br 0.768 0.507 0.696
Br10 Br 0.801 0.975 0.738
```